Entry 1:
Compound: Nb2CdOsRu
Source: the Alexandria database
Functional: PBE-GGA
Structure: relaxed

Properties
Calculated volume in Å³ per cell: 108.1
SG: No. 123
Total energy in eV per atom: -6.8091
Energy of formation from the pure elements in eV/atom: 1.503

Lattice parameters (Å, degrees): 4.691 4.914 4.691 90.00 90.00 90.00
Site moments in Bohr magnetons follow the coordinates.
Element x y z (fractional)
Cd (0.000, 0.500, 0.000)  0.00
Ru (0.000, 0.000, 0.000)  0.01
Os (0.500, 0.500, 0.500)  1.03
Nb (0.000, 0.000, 0.500)  -0.13
Nb (0.500, 0.000, 0.000)  -0.15

***

Entry 2:
Compound: NbCd2TcOs
Source: the Alexandria database
Functional: PBE-GGA
Structure: relaxed

Properties
Calculated volume in Å³ per cell: 122.1
SG: No. 123
Total energy in eV per atom: -4.5324
Energy of formation from the pure elements in eV/atom: 2.167

Lattice parameters (Å, degrees): 5.209 4.502 5.209 90.00 90.00 90.00
Site moments in Bohr magnetons follow the coordinates.
Element x y z (fractional)
Nb (0.000, 0.000, 0.000)  -0.02
Tc (0.000, 0.500, 0.000)  0.19
Cd (0.000, 0.000, 0.500)  -0.01
Cd (0.500, 0.000, 0.000)  -0.02
Os (0.500, 0.500, 0.500)  2.16

***

Entry 3:
Compound: NbCd3P
Source: the Alexandria database
Functional: PBE-GGA
Structure: relaxed

Properties
Calculated volume in Å³ per cell: 126.8
SG: No. 221
Total energy in eV per atom: -2.6573
Energy of formation from the pure elements in eV/atom: 0.988
Energy above the lowest structure with this stoichiometry in eV/f.u.: 0.00

Lattice parameters (Å, degrees): 5.024 5.024 5.024 90.00 90.00 90.00
Site moments in Bohr magnetons follow the coordinates.
Element x y z (fractional)
Cd (0.000, 0.500, 0.000)  -0.01
Cd (0.500, 0.000, 0.000)  0.03
Cd (0.000, 0.000, 0.500)  -0.04
Nb (0.500, 0.500, 0.500)  2.59
P (0.000, 0.000, 0.000)  0.10

***

Entry 4:
Compound: NbCdP3
Source: the Alexandria database
Functional: PBE-GGA
Structure: relaxed

Properties
Calculated volume in Å³ per cell: 114.1
SG: No. 221
Total energy in eV per atom: -5.0904
Energy of formation from the pure elements in eV/atom: 0.353
Energy above the lowest structure with this stoichiometry in eV/f.u.: 0.00

Lattice parameters (Å, degrees): 4.850 4.850 4.850 90.00 90.00 90.00
Element x y z (fractional)
Nb (0.000, 0.000, 0.000)
P (0.500, 0.000, 0.000)
P (0.000, 0.000, 0.500)
P (0.000, 0.500, 0.000)
Cd (0.500, 0.500, 0.500)

***

Entry 5:
Compound: NbCd2P2
Source: the Alexandria database
Functional: PBE-GGA
Structure: relaxed

Properties
Calculated volume in Å³ per cell: 183.2
SG: No. 127
Total energy in eV per atom: -4.5677
Energy of formation from the pure elements in eV/atom: -0.024

Lattice parameters (Å, degrees): 6.560 6.560 4.257 90.00 90.00 90.00
Element x y z (fractional)
P (0.372, 0.872, 0.000)
P (0.628, 0.128, 0.000)
P (0.872, 0.628, 0.000)
P (0.128, 0.372, 0.000)
Cd (0.691, 0.809, 0.500)
Cd (0.191, 0.691, 0.500)
Cd (0.309, 0.191, 0.500)
Cd (0.809, 0.309, 0.500)
Nb (0.500, 0.500, 0.000)
Nb (0.000, 0.000, 0.000)

***

Entry 6:
Compound: NbCdP3
Source: the Alexandria database
Functional: PBE-GGA
Structure: relaxed

Properties
Calculated volume in Å³ per cell: 109.7
SG: No. 221
Total energy in eV per atom: -3.9147
Energy of formation from the pure elements in eV/atom: 1.528
Energy above the lowest structure with this stoichiometry in eV/f.u.: 5.88

Lattice parameters (Å, degrees): 4.786 4.786 4.786 90.00 90.00 90.00
Element x y z (fractional)
P (0.000, 0.000, 0.500)
P (0.500, 0.000, 0.000)
P (0.000, 0.500, 0.000)
Cd (0.000, 0.000, 0.000)
Nb (0.500, 0.500, 0.500)